(1)
Density functional theory data (PBE) for an optimized crystal structure of Ba2Tc2O5.

Size of the total moment = 0.00 μB per atom
Raw total energy = -65.38 eV for the cell shown

```
9
Lattice="3.9650 0.0000 0.0000 0.0000 3.9650 0.0000 0.0000 0.0000 8.3334" Properties=species:S:1:pos:R:3 pbc="T T T"
Ba 0.0000 0.0000 0.0000
Ba 0.0000 0.0000 4.1667
Tc 1.9825 1.9825 2.0192
Tc 1.9825 1.9825 6.3142
O 0.0000 1.9825 1.9764
O 0.0000 1.9825 6.3570
O 1.9825 0.0000 1.9764
O 1.9825 0.0000 6.3570
O 1.9825 1.9825 4.1667
```

(2)
Density functional theory data (PBE) for an optimized crystal structure of Nd2HoZn3Ir2Pt.

Size of the total moment = 0.00 μB per atom
Raw total energy = -48.23 eV for the cell shown
Formation energy from the elements = -0.730 eV/atom

```
9
Lattice="3.9692 0.0000 0.0000 0.0000 6.2726 3.6465 0.0000 -6.2726 3.6465" Properties=species:S:1:pos:R:3 pbc="T T T"
Nd 0.0000 -3.6827 3.6465
Nd 0.0000 3.6827 3.6465
Ho 0.0000 0.0000 4.4710
Zn 1.9846 -1.5369 2.4288
Zn 1.9846 1.5369 2.4288
Zn 1.9846 0.0000 6.9728
Ir 1.9846 -2.0080 5.1333
Ir 1.9846 2.0080 5.1333
Pt 0.0000 0.0000 1.5520
```

(3)
Density functional theory data (PBE) for an optimized crystal structure of HfSbAsO.

Size of the total moment = 0.00 μB per atom
Raw total energy = -51.87 eV for the cell shown

```
8
Lattice="4.5508 0.0000 0.0000 0.0000 4.5508 0.0000 0.0000 0.0000 7.4165" Properties=species:S:1:pos:R:3 pbc="T T T"
Hf 1.1377 3.4131 0.0000
Hf 3.4131 1.1377 0.0000
Sb 1.1377 1.1377 3.0970
Sb 3.4131 3.4131 4.3196
As 1.1377 1.1377 6.0421
As 3.4131 3.4131 1.3745
O 1.1377 3.4131 3.7083
O 3.4131 1.1377 3.7083
```

(4)
Density functional theory data (PBE) for an optimized crystal structure of Er3Mg3PtAu2.

Size of the total moment = 0.00 μB per atom
Raw total energy = -37.91 eV for the cell shown

```
9
Lattice="7.4839 0.0000 0.0000 -3.7419 6.4812 0.0000 0.0000 0.0000 4.0522" Properties=species:S:1:pos:R:3 pbc="T T T"
Er -1.5060 2.6085 0.0000
Er 3.0120 0.0000 0.0000
Er 2.2359 3.8727 0.0000
Mg -2.8306 4.9028 2.0261
Mg 0.9113 1.5784 2.0261
Mg 5.6613 0.0000 2.0261
Pt 0.0000 0.0000 0.0000
Au 0.0000 4.3208 2.0261
Au 3.7419 2.1604 2.0261
```

(5)
Density functional theory data (PBE) for an optimized crystal structure of KGdPdS4.

Size of the total moment = 0.01 μB per atom
Raw total energy = -68.58 eV for the cell shown

```
14
Lattice="6.9129 0.0000 0.0000 0.0000 6.3027 0.0000 -2.6939 0.0000 8.2025" Properties=species:S:1:pos:R:3 pbc="T T T"
K 1.5682 0.0000 0.4468
K 2.6508 3.1513 7.7557
Gd -0.0409 6.2307 4.5094
Gd 4.2600 3.0793 3.6931
Pd 0.8771 2.9552 2.9697
Pd 3.3419 6.1065 5.2328
S -0.7146 4.5907 2.3396
S -1.8585 4.6259 5.8773
S 2.6433 3.3646 1.4582
S 1.8485 4.1979 4.8176
S 2.3706 1.0465 3.3849
S 1.5758 0.2133 6.7443
S 6.0775 1.4745 2.3252
S 4.9336 1.4393 5.8629
```

(6)
Density functional theory data (PBE) for an optimized crystal structure of Dy2Y3Tm2Ni2Te2.

Size of the total moment = 0.00 μB per atom
Raw total energy = -62.42 eV for the cell shown

```
11
Lattice="-1.9218 7.7942 4.7866 1.9218 -7.7942 4.7866 1.9218 7.7942 -4.7866" Properties=species:S:1:pos:R:3 pbc="T T T"
Dy 0.0000 2.0665 0.0000
Dy 0.0000 13.5220 0.0000
Y 0.0000 4.9068 1.9362
Y 0.0000 0.0000 5.5564
Y 0.0000 10.6817 1.9362
Tm 1.9218 -2.2971 3.3724
Tm 1.9218 2.2971 3.3724
Ni 1.9218 4.0930 0.0606
Ni 0.0000 3.7013 4.8472
Te 0.0000 0.0000 2.3629
Te 0.0000 7.7942 3.3065
```

Question: Number 4 is which compound?
Answer: Er3Mg3PtAu2

Question: What is the size of the total moment in the fifth record?
Answer: 0.01 μB per atom

Question: What is the size of the total moment in the sixth record?
Answer: 0.00 μB per atom